one:
# DyPu2Pb | Alexandria | PBE | relaxed
# - total magnetic moment (μB per cell) = 12.608
# - N(E_F) (states/eV/cell) = 10.00
data_DyPu2Pb
_chemical_formula_sum 'Dy1 Pu2 Pb1'
_space_group_name_H-M_alt 'P 4/m m m'
_space_group_IT_number 123
_space_group_name_Hall '-P 4 2'
_cell_length_a 4.5913
_cell_length_b 4.5913
_cell_length_c 5.2066
_cell_angle_alpha 90.00
_cell_angle_beta 90.00
_cell_angle_gamma 90.00
loop_
_atom_site_label
_atom_site_fract_x
_atom_site_fract_y
_atom_site_fract_z
Dy1 0.0000 0.0000 0.0000
Pu1 0.0000 0.5000 0.5000
Pb1 0.5000 0.5000 0.0000

---

two:
# DyPu2Pb | Alexandria | PBE | relaxed
# - total magnetic moment (μB per cell) = 51.582
# - N(E_F) (states/eV/cell) = 56.95
data_DyPu2Pb
_chemical_formula_sum 'Dy4 Pu8 Pb4'
_space_group_name_H-M_alt 'F m -3 m'
_space_group_IT_number 225
_space_group_name_Hall '-F 4 2 3'
_cell_length_a 7.6947
_cell_length_b 7.6947
_cell_length_c 7.6947
_cell_angle_alpha 90.00
_cell_angle_beta 90.00
_cell_angle_gamma 90.00
loop_
_atom_site_label
_atom_site_fract_x
_atom_site_fract_y
_atom_site_fract_z
Dy1 0.0000 0.0000 0.0000
Pu1 0.2500 0.2500 0.2500
Pb1 0.0000 0.0000 0.5000

---

It comes down to one, which is 279 meV per atom more stable than the next structure.

---

one:
# DyPuRuPb | Alexandria | PBE | relaxed
# - total magnetic moment (μB per cell) = 20.109
# - N(E_F) (states/eV/cell) = 31.26
data_DyPuRuPb
_chemical_formula_sum 'Dy4 Pu4 Ru4 Pb4'
_space_group_name_H-M_alt 'F -4 3 m'
_space_group_IT_number 216
_space_group_name_Hall 'F -4 2 3'
_cell_length_a 7.2518
_cell_length_b 7.2518
_cell_length_c 7.2518
_cell_angle_alpha 90.00
_cell_angle_beta 90.00
_cell_angle_gamma 90.00
loop_
_atom_site_label
_atom_site_fract_x
_atom_site_fract_y
_atom_site_fract_z
Dy1 0.0000 0.0000 0.0000
Pu1 0.0000 0.0000 0.5000
Ru1 0.2500 0.2500 0.2500
Pb1 0.2500 0.2500 0.7500

---

two:
# DyPuRuPb | Alexandria | PBE | relaxed
# - total magnetic moment (μB per cell) = 4.905
# - N(E_F) (states/eV/cell) = 8.49
data_DyPuRuPb
_chemical_formula_sum 'Dy1 Pu1 Ru1 Pb1'
_space_group_name_H-M_alt 'P 4 m m'
_space_group_IT_number 99
_cell_length_a 3.3369
_cell_length_b 3.3369
_cell_length_c 8.6564
_cell_angle_alpha 90.00
_cell_angle_beta 90.00
_cell_angle_gamma 90.00
loop_
_space_group_symop_operation_xyz
'x,y,z'
'-y,x,z'
'-x,-y,z'
'y,-x,z'
'-x,y,z'
'y,x,z'
'x,-y,z'
'-y,-x,z'
loop_
_atom_site_label
_atom_site_fract_x
_atom_site_fract_y
_atom_site_fract_z
Dy1 0.0000 0.0000 0.0000
Pu1 0.0000 0.0000 0.6015
Ru1 0.5000 0.5000 0.7992
Pb1 0.5000 0.5000 0.2990

---

It comes down to two, which is 252 meV per atom more stable than the next structure.

---

one:
# TbDyRhPb | Alexandria | PBE | relaxed
# - total magnetic moment (μB per cell) = 0.000
# - N(E_F) (states/eV/cell) = 12.74
data_TbDyRhPb
_chemical_formula_sum 'Tb4 Dy4 Rh4 Pb4'
_space_group_name_H-M_alt 'F -4 3 m'
_space_group_IT_number 216
_space_group_name_Hall 'F -4 2 3'
_cell_length_a 7.2936
_cell_length_b 7.2936
_cell_length_c 7.2936
_cell_angle_alpha 90.00
_cell_angle_beta 90.00
_cell_angle_gamma 90.00
loop_
_atom_site_label
_atom_site_fract_x
_atom_site_fract_y
_atom_site_fract_z
Tb1 0.0000 0.0000 0.0000
Dy1 0.0000 0.0000 0.5000
Rh1 0.2500 0.2500 0.7500
Pb1 0.2500 0.2500 0.2500

---

two:
# TbDyRhPb | Alexandria | PBE | relaxed
# - total magnetic moment (μB per cell) = 0.000
# - N(E_F) (states/eV/cell) = 1.95
data_TbDyRhPb
_chemical_formula_sum 'Tb1 Dy1 Rh1 Pb1'
_space_group_name_H-M_alt 'P 4 m m'
_space_group_IT_number 99
_cell_length_a 3.4907
_cell_length_b 3.4907
_cell_length_c 8.0359
_cell_angle_alpha 90.00
_cell_angle_beta 90.00
_cell_angle_gamma 90.00
loop_
_space_group_symop_operation_xyz
'x,y,z'
'-y,x,z'
'-x,-y,z'
'y,-x,z'
'-x,y,z'
'y,x,z'
'x,-y,z'
'-y,-x,z'
loop_
_atom_site_label
_atom_site_fract_x
_atom_site_fract_y
_atom_site_fract_z
Tb1 0.0000 0.0000 0.0000
Dy1 0.0000 0.0000 0.5858
Rh1 0.5000 0.5000 0.7910
Pb1 0.5000 0.5000 0.2941

---

It comes down to two, which is 166 meV per atom more stable than the next structure.

---

one:
# Dy3RuPb | Alexandria | PBE | relaxed
# - total magnetic moment (μB per cell) = 0.001
# - N(E_F) (states/eV/cell) = 26.25
data_Dy3RuPb
_chemical_formula_sum 'Dy24 Ru8 Pb8'
_space_group_name_H-M_alt 'F m m m'
_space_group_IT_number 69
_space_group_name_Hall '-F 2 2'
_cell_length_a 6.5659
_cell_length_b 9.8272
_cell_length_c 16.5360
_cell_angle_alpha 90.00
_cell_angle_beta 90.00
_cell_angle_gamma 90.00
loop_
_atom_site_label
_atom_site_fract_x
_atom_site_fract_y
_atom_site_fract_z
Dy1 0.0000 0.0000 0.1982
Dy2 0.0000 0.1860 0.3811
Ru1 0.2500 0.2500 0.2500
Pb1 0.2205 0.0000 0.0000

---

two:
# Dy3RuPb | Alexandria | PBE | relaxed
# - total magnetic moment (μB per cell) = 0.000
# - N(E_F) (states/eV/cell) = 3.40
data_Dy3RuPb
_chemical_formula_sum 'Dy3 Ru1 Pb1'
_space_group_name_H-M_alt 'P m -3 m'
_space_group_IT_number 221
_space_group_name_Hall '-P 4 2 3'
_cell_length_a 5.2998
_cell_length_b 5.2998
_cell_length_c 5.2998
_cell_angle_alpha 90.00
_cell_angle_beta 90.00
_cell_angle_gamma 90.00
loop_
_atom_site_label
_atom_site_fract_x
_atom_site_fract_y
_atom_site_fract_z
Dy1 0.0000 0.0000 0.5000
Ru1 0.0000 0.0000 0.0000
Pb1 0.5000 0.5000 0.5000

---

three:
# Dy3RuPb | Alexandria | PBE | relaxed
# - total magnetic moment (μB per cell) = 0.000
# - N(E_F) (states/eV/cell) = 33.80
data_Dy3RuPb
_chemical_formula_sum 'Dy24 Ru8 Pb8'
_space_group_name_H-M_alt 'C 1 2/c 1'
_space_group_IT_number 15
_cell_length_a 14.1936
_cell_length_b 11.0568
_cell_length_c 7.0813
_cell_angle_alpha 90.00
_cell_angle_beta 90.01
_cell_angle_gamma 90.00
loop_
_space_group_symop_operation_xyz
'x,y,z'
'-x,-y,-z'
'-x,y,-z+1/2'
'x,-y,z+1/2'
'x+1/2,y+1/2,z'
'-x+1/2,-y+1/2,-z'
'-x+1/2,y+1/2,-z+1/2'
'x+1/2,-y+1/2,z+1/2'
loop_
_atom_site_label
_atom_site_fract_x
_atom_site_fract_y
_atom_site_fract_z
Dy1 0.1142 0.0629 0.1054
Dy2 0.1146 0.4376 0.8948
Dy3 0.2496 0.1908 0.7229
Ru1 0.2497 0.0522 0.3857
Pb1 0.0000 0.1965 0.7500
Pb2 0.0000 0.3041 0.2500

---

It comes down to one, which is 58 meV per atom more stable than the next structure.

---

one:
# DyScRuPb | Alexandria | PBE | relaxed
# - total magnetic moment (μB per cell) = 0.000
# - N(E_F) (states/eV/cell) = 9.14
data_DyScRuPb
_chemical_formula_sum 'Dy4 Sc4 Ru4 Pb4'
_space_group_name_H-M_alt 'F -4 3 m'
_space_group_IT_number 216
_space_group_name_Hall 'F -4 2 3'
_cell_length_a 7.0471
_cell_length_b 7.0471
_cell_length_c 7.0471
_cell_angle_alpha 90.00
_cell_angle_beta 90.00
_cell_angle_gamma 90.00
loop_
_atom_site_label
_atom_site_fract_x
_atom_site_fract_y
_atom_site_fract_z
Dy1 0.0000 0.0000 0.0000
Sc1 0.0000 0.0000 0.5000
Ru1 0.2500 0.2500 0.7500
Pb1 0.2500 0.2500 0.2500

---

two:
# DyScRuPb | Alexandria | PBE | relaxed
# - total magnetic moment (μB per cell) = 0.000
# - N(E_F) (states/eV/cell) = 1.21
data_DyScRuPb
_chemical_formula_sum 'Dy1 Sc1 Ru1 Pb1'
_space_group_name_H-M_alt 'P 4 m m'
_space_group_IT_number 99
_cell_length_a 3.3440
_cell_length_b 3.3440
_cell_length_c 8.0111
_cell_angle_alpha 90.00
_cell_angle_beta 90.00
_cell_angle_gamma 90.00
loop_
_space_group_symop_operation_xyz
'x,y,z'
'-y,x,z'
'-x,-y,z'
'y,-x,z'
'-x,y,z'
'y,x,z'
'x,-y,z'
'-y,-x,z'
loop_
_atom_site_label
_atom_site_fract_x
_atom_site_fract_y
_atom_site_fract_z
Dy1 0.0000 0.0000 0.0000
Sc1 0.0000 0.0000 0.5998
Ru1 0.5000 0.5000 0.7798
Pb1 0.5000 0.5000 0.3177

---

It comes down to two, which is 222 meV per atom more stable than the next structure.

---

one:
# DyTmRuPb | Alexandria | PBE | relaxed
# - total magnetic moment (μB per cell) = 0.000
# - N(E_F) (states/eV/cell) = 1.46
data_DyTmRuPb
_chemical_formula_sum 'Dy1 Tm1 Ru1 Pb1'
_space_group_name_H-M_alt 'P 4 m m'
_space_group_IT_number 99
_cell_length_a 3.4059
_cell_length_b 3.4059
_cell_length_c 8.2228
_cell_angle_alpha 90.00
_cell_angle_beta 90.00
_cell_angle_gamma 90.00
loop_
_space_group_symop_operation_xyz
'x,y,z'
'-y,x,z'
'-x,-y,z'
'y,-x,z'
'-x,y,z'
'y,x,z'
'x,-y,z'
'-y,-x,z'
loop_
_atom_site_label
_atom_site_fract_x
_atom_site_fract_y
_atom_site_fract_z
Dy1 0.0000 0.0000 0.0000
Tm1 0.0000 0.0000 0.5986
Ru1 0.5000 0.5000 0.7945
Pb1 0.5000 0.5000 0.3031

---

two:
# DyTmRuPb | Alexandria | PBE | relaxed
# - total magnetic moment (μB per cell) = 0.001
# - N(E_F) (states/eV/cell) = 8.87
data_DyTmRuPb
_chemical_formula_sum 'Dy4 Tm4 Ru4 Pb4'
_space_group_name_H-M_alt 'F -4 3 m'
_space_group_IT_number 216
_space_group_name_Hall 'F -4 2 3'
_cell_length_a 7.1917
_cell_length_b 7.1917
_cell_length_c 7.1917
_cell_angle_alpha 90.00
_cell_angle_beta 90.00
_cell_angle_gamma 90.00
loop_
_atom_site_label
_atom_site_fract_x
_atom_site_fract_y
_atom_site_fract_z
Dy1 0.0000 0.0000 0.0000
Tm1 0.0000 0.0000 0.5000
Ru1 0.2500 0.2500 0.7500
Pb1 0.2500 0.2500 0.2500

---

It comes down to one, which is 214 meV per atom more stable than the next structure.